Record 1
PBE Sc8TlRh2, relaxed; volume = 248.2 Å³ per cell; E_form = -0.3830 eV per atom
1.0
4.094 -6.272 0.000
4.094 6.272 0.000
-1.311 0.000 4.833
Sc Tl Rh
8 1 2
direct
0.074 0.329 0.578
0.245 0.755 0.000
0.329 0.074 0.578
0.390 0.390 0.193
0.610 0.610 0.807
0.671 0.926 0.422
0.755 0.245 0.000
0.926 0.671 0.422
0.000 0.000 0.000
0.309 0.691 0.500
0.691 0.309 0.500

Record 2
PBE Rb2HgRhO4, relaxed; volume = 306.4 Å³ per cell; formation energy without anion corrections = -6.20 eV per formula unit
1.0
6.447 0.000 0.000
0.000 6.447 0.000
0.000 0.000 7.371
Rb Hg Rh O
4 2 2 8
direct
0.000 0.000 0.000
0.000 0.500 0.250
0.500 0.000 0.750
0.500 0.500 0.500
0.000 0.500 0.750
0.500 0.000 0.250
0.000 0.000 0.500
0.500 0.500 0.000
0.144 0.255 0.558
0.245 0.644 0.942
0.255 0.856 0.442
0.356 0.245 0.058
0.644 0.755 0.058
0.745 0.144 0.442
0.755 0.356 0.942
0.856 0.745 0.558

Record 3
PBE Ba2Al2Si2P, relaxed; volume = 374.6 Å³ per cell; formation energy without anion corrections = -2.98 eV per formula unit
1.0
13.176 0.000 0.000
0.000 4.295 0.000
-4.781 0.000 6.620
Ba Al Si P
4 4 4 2
direct
0.059 0.000 0.323
0.441 0.500 0.677
0.559 0.500 0.323
0.941 0.000 0.677
0.203 0.500 0.071
0.297 0.000 0.929
0.703 0.000 0.071
0.797 0.500 0.929
0.183 0.500 0.735
0.317 0.000 0.265
0.683 0.000 0.735
0.817 0.500 0.265
0.000 0.500 0.000
0.500 0.000 0.000

Record 4
PBE HfAg2SbF, relaxed; volume = 118.1 Å³ per cell; formation energy without anion corrections = -1.57 eV per formula unit
1.0
5.448 0.000 0.000
0.000 5.448 0.000
0.000 0.000 3.979
Hf Ag Sb F
1 2 1 1
direct
0.000 0.000 0.000
0.000 0.500 0.000
0.500 0.000 0.000
0.500 0.500 0.500
0.000 0.000 0.500

Record 5
PBE Y3PtI, relaxed; volume = 167.2 Å³ per cell; formation energy without anion corrections = -2.73 eV per formula unit
1.0
5.509 0.000 0.000
0.000 5.509 0.000
0.000 0.000 5.509
Y Pt I
3 1 1
direct
0.000 0.000 0.500
0.000 0.500 0.000
0.500 0.000 0.000
0.000 0.000 0.000
0.500 0.500 0.500

Record 6
PBE HoSn2Pb, relaxed; volume = 221.5 Å³ per cell; E_form = -0.2901 eV per atom
1.0
6.940 0.000 0.000
0.000 8.736 0.000
0.000 0.000 3.653
Ho Sn Pb
2 4 2
direct
0.000 0.000 0.000
0.500 0.500 0.000
0.250 0.250 0.500
0.250 0.750 0.500
0.750 0.250 0.500
0.750 0.750 0.500
0.000 0.500 0.000
0.500 0.000 0.000

Record 7
PBE TaCoW2, relaxed; volume = 124.0 Å³ per cell; E_form = 0.1277 eV per atom
1.0
3.229 0.000 0.000
0.000 4.467 0.000
0.000 0.000 8.595
Ta Co W
2 2 4
direct
0.000 0.000 0.000
0.500 0.500 0.500
0.000 0.500 0.250
0.500 0.000 0.750
0.000 0.000 0.502
0.000 0.500 0.757
0.500 0.000 0.257
0.500 0.500 0.002

Record 8
PBE NbTeAsS2, relaxed; volume = 134.4 Å³ per cell; formation energy without anion corrections = 5.98 eV per formula unit
1.0
4.965 0.000 0.000
0.000 4.965 0.000
0.000 0.000 5.454
Nb Te As S
1 1 1 2
direct
0.000 0.000 0.000
0.000 0.000 0.500
0.500 0.500 0.000
0.000 0.500 0.500
0.500 0.000 0.500

Record 9
PBE PmSn3Pd6, relaxed; volume = 398.1 Å³ per cell; E_form = -0.5567 eV per atom
1.0
9.257 0.000 0.000
0.000 3.916 0.000
-2.420 0.000 10.982
Pm Sn Pd
2 6 12
direct
0.025 0.250 0.236
0.975 0.750 0.764
0.132 0.250 0.582
0.292 0.750 0.939
0.393 0.250 0.317
0.607 0.750 0.683
0.708 0.250 0.061
0.868 0.750 0.418
0.101 0.250 0.982
0.200 0.750 0.427
0.236 0.750 0.173
0.306 0.750 0.704
0.428 0.250 0.562
0.431 0.250 0.084
0.569 0.750 0.916
0.572 0.750 0.438
0.694 0.250 0.296
0.764 0.250 0.827
0.800 0.250 0.573
0.899 0.750 0.018

Record 10
PBE TbPm2NdDy4, relaxed; volume = 538.8 Å³ per cell; E_form = 0.4148 eV per atom
1.0
-3.419 5.927 6.647
3.419 -5.927 6.647
3.419 5.927 -6.647
Tb Pm Nd Dy
2 4 2 8
direct
0.500 0.000 0.000
0.500 0.500 0.500
0.000 0.000 0.000
0.000 0.000 0.500
0.000 0.500 0.000
0.500 0.000 0.500
0.000 0.500 0.500
0.500 0.500 0.000
0.252 0.250 0.002
0.252 0.252 0.500
0.252 0.750 0.502
0.252 0.753 0.000
0.748 0.247 0.000
0.748 0.250 0.498
0.748 0.748 0.500
0.748 0.750 0.998

Record 11
PBE Sr2Cr2H, relaxed; volume = 266.1 Å³ per cell; E_tot = -4.05 eV/atom
1.0
6.180 0.000 0.000
0.000 6.180 0.000
0.000 0.000 6.969
Sr Cr H
4 4 2
direct
0.000 0.500 0.250
0.000 0.500 0.750
0.500 0.000 0.250
0.500 0.000 0.750
0.000 0.000 0.128
0.000 0.000 0.872
0.500 0.500 0.372
0.500 0.500 0.628
0.000 0.000 0.500
0.500 0.500 0.000

Record 12
PBE PmEr2Cd, relaxed; volume = 116.4 Å³ per cell; E_form = -0.1498 eV per atom
1.0
3.594 0.000 0.000
0.000 3.594 0.000
0.000 0.000 9.014
Pm Er Cd
1 2 1
direct
0.000 0.000 0.000
0.500 0.500 0.278
0.500 0.500 0.722
0.000 0.000 0.500

Record 13
PBE Ac2CePr, relaxed; volume = 154.9 Å³ per cell; E_form = 0.1114 eV per atom
1.0
5.412 0.000 0.000
0.000 5.412 0.000
0.000 0.000 5.287
Ac Ce Pr
2 1 1
direct
0.000 0.500 0.000
0.500 0.000 0.000
0.000 0.000 0.500
0.500 0.500 0.500

Record 14
PBE PmAlAu, relaxed; volume = 401.5 Å³ per cell; E_form = -0.7577 eV per atom
1.0
-2.295 11.210 3.901
2.295 -11.210 3.901
2.295 11.210 -3.901
Pm Al Au
6 6 6
direct
0.000 0.000 0.000
0.074 0.910 0.164
0.337 0.007 0.330
0.413 0.913 0.500
0.677 0.007 0.670
0.745 0.910 0.836
0.187 0.291 0.896
0.352 0.625 0.727
0.395 0.291 0.104
0.731 0.293 0.438
0.855 0.293 0.562
0.898 0.625 0.273
0.021 0.622 0.399
0.062 0.297 0.766
0.223 0.622 0.601
0.531 0.297 0.234
0.546 0.619 0.927
0.692 0.619 0.073

Record 15
PBE ScPPt2, relaxed; volume = 68.2 Å³ per cell; E_form = -0.7162 eV per atom
1.0
3.444 0.000 0.000
0.000 3.444 0.000
0.000 0.000 5.748
Sc P Pt
1 1 2
direct
0.000 0.000 0.000
0.500 0.500 0.359
0.000 0.000 0.473
0.500 0.500 0.780

Record 16
PBE TlCrSi, relaxed; volume = 248.8 Å³ per cell; formation energy without anion corrections = 1.67 eV per formula unit
1.0
6.289 0.000 0.000
0.000 6.289 0.000
0.000 0.000 6.289
Tl Cr Si
4 4 4
direct
0.000 0.000 0.000
0.000 0.500 0.500
0.500 0.000 0.500
0.500 0.500 0.000
0.250 0.250 0.750
0.250 0.750 0.250
0.750 0.250 0.250
0.750 0.750 0.750
0.000 0.000 0.500
0.000 0.500 0.000
0.500 0.000 0.000
0.500 0.500 0.500

Record 17
PBE Ac3Sm5H12, relaxed; volume = 1361.4 Å³ per cell; E_tot = -4.23 eV/atom
1.0
-6.982 6.982 6.982
6.982 -6.982 6.982
6.982 6.982 -6.982
Ac Sm H
12 20 48
direct
0.125 0.250 0.375
0.125 0.375 0.750
0.250 0.375 0.125
0.250 0.875 0.625
0.375 0.125 0.250
0.375 0.750 0.125
0.625 0.250 0.875
0.625 0.875 0.750
0.750 0.125 0.375
0.750 0.625 0.875
0.875 0.625 0.250
0.875 0.750 0.625
0.000 0.000 0.000
0.000 0.000 0.500
0.000 0.500 0.000
0.000 0.500 0.500
0.125 0.750 0.875
0.125 0.875 0.250
0.250 0.125 0.875
0.250 0.625 0.375
0.375 0.250 0.625
0.375 0.625 0.750
0.500 0.000 0.000
0.500 0.000 0.500
0.500 0.500 0.000
0.500 0.500 0.500
0.625 0.375 0.250
0.625 0.750 0.375
0.750 0.375 0.625
0.750 0.875 0.125
0.875 0.125 0.750
0.875 0.250 0.125
0.055 0.217 0.140
0.055 0.338 0.915
0.077 0.717 0.662
0.077 0.860 0.415
0.085 0.640 0.423
0.085 0.945 0.662
0.140 0.055 0.217
0.140 0.585 0.923
0.162 0.217 0.577
0.162 0.445 0.585
0.217 0.140 0.055
0.217 0.577 0.162
0.283 0.338 0.923
0.283 0.445 0.360
0.338 0.915 0.055
0.338 0.923 0.283
0.360 0.283 0.445
0.360 0.577 0.915
0.415 0.077 0.860
0.415 0.838 0.555
0.423 0.085 0.640
0.423 0.838 0.783
0.445 0.360 0.283
0.445 0.585 0.162
0.555 0.415 0.838
0.555 0.640 0.717
0.577 0.162 0.217
0.577 0.915 0.360
0.585 0.162 0.445
0.585 0.923 0.140
0.640 0.423 0.085
0.640 0.717 0.555
0.662 0.077 0.717
0.662 0.085 0.945
0.717 0.555 0.640
0.717 0.662 0.077
0.783 0.423 0.838
0.783 0.860 0.945
0.838 0.555 0.415
0.838 0.783 0.423
0.860 0.415 0.077
0.860 0.945 0.783
0.915 0.055 0.338
0.915 0.360 0.577
0.923 0.140 0.585
0.923 0.283 0.338
0.945 0.662 0.085
0.945 0.783 0.860

Record 18
PBE Li5La2Cu12, relaxed; volume = 284.2 Å³ per cell; E_form = -0.0964 eV per atom
1.0
4.379 2.528 4.278
-4.379 2.528 4.278
0.000 -5.057 4.278
Li La Cu
5 2 12
direct
0.000 0.000 0.500
0.000 0.500 0.000
0.090 0.090 0.090
0.500 0.000 0.000
0.910 0.910 0.910
0.352 0.352 0.352
0.648 0.648 0.648
0.000 0.299 0.701
0.000 0.701 0.299
0.158 0.659 0.659
0.299 0.000 0.701
0.299 0.701 0.000
0.341 0.341 0.842
0.341 0.842 0.341
0.659 0.158 0.659
0.659 0.659 0.158
0.701 0.000 0.299
0.701 0.299 0.000
0.842 0.341 0.341

Record 19
PBE SrSbW3, relaxed; volume = 116.5 Å³ per cell; formation energy without anion corrections = 17.63 eV per formula unit
1.0
4.884 0.000 0.000
0.000 4.884 0.000
0.000 0.000 4.884
Sr Sb W
1 1 3
direct
0.000 0.000 0.000
0.500 0.500 0.500
0.000 0.000 0.500
0.000 0.500 0.000
0.500 0.000 0.000

Record 20
PBE Zr2AsOs, relaxed; volume = 320.0 Å³ per cell; E_form = -0.1004 eV per atom
1.0
7.271 0.000 0.000
0.000 7.271 0.000
0.000 0.000 6.053
Zr As Os
8 4 4
direct
0.242 0.250 0.125
0.250 0.742 0.375
0.250 0.758 0.875
0.258 0.250 0.625
0.742 0.750 0.625
0.750 0.242 0.875
0.750 0.258 0.375
0.758 0.750 0.125
0.000 0.000 0.500
0.000 0.500 0.750
0.500 0.000 0.250
0.500 0.500 0.000
0.000 0.000 0.000
0.000 0.500 0.250
0.500 0.000 0.750
0.500 0.500 0.500